Entry 1:
DFT (PBEsol) results for crystalline CdCuPdAu2 at its relaxed geometry.

abc: 4.6330 4.6330 4.6584
angles: 90.00 90.00 90.00
Atoms (fractional coordinates):
Au1 0.5000 0.0000 0.0000
Au2 0.0000 0.5000 0.0000
Pd1 0.5000 0.5000 0.5000
Cu1 0.0000 0.0000 0.0000
Cd1 0.0000 0.0000 0.5000

Summary:
Its space group is P4/mmm. The calculated volume comes out at 100 Å³/cell. The calculation puts the calculated formation energy at 0.6426 eV per atom. Its crystal system is tetragonal.



Entry 2:
DFT (PBEsol) results for crystalline DyCdAu at its relaxed geometry.

abc: 3.8873 7.6169 7.6169
angles: 120.00 90.00 90.00
Atoms (fractional coordinates):
Dy1 0.0000 0.5967 0.5967
Au1 0.0000 0.0000 0.0000
Cd1 0.5000 0.7389 0.0000
Cd2 0.5000 0.0000 0.7389
Cd3 0.5000 0.2611 0.2611
Au2 0.5000 0.3333 0.6667
Au3 0.5000 0.6667 0.3333
Dy2 0.0000 0.0000 0.4033
Dy3 0.0000 0.4033 0.0000

Summary:
Its space group is P-62m. The calculated volume comes out at 195 Å³/cell. The calculation puts the calculated formation energy at -0.6851 eV per atom. Its crystal system is hexagonal.



Entry 3:
DFT (PBEsol) results for crystalline CdAuF2 at its relaxed geometry.

abc: 3.1203 3.1203 8.8003
angles: 79.79 79.79 60.00
Atoms (fractional coordinates):
Cd1 0.5000 0.5000 0.5000
F1 0.1172 0.1172 0.6484
Au1 0.0000 0.0000 0.0000
F2 0.8828 0.8828 0.3516

Summary:
As for the uncorrected formation energy: -4.48 eV/f.u. Its space group is R-3m. The calculated volume comes out at 73 Å³/cell. Its crystal system is trigonal.



Entry 4:
DFT (PBEsol) results for crystalline CdAu2F8 at its relaxed geometry.

abc: 5.7265 5.7265 10.3100
angles: 90.00 90.00 90.00
Atoms (fractional coordinates):
F1 0.1509 0.3083 0.8696
F2 0.8491 0.3083 0.3696
F3 0.6917 0.1509 0.8696
F4 0.3083 0.8491 0.1304
F5 0.8491 0.6917 0.1304
F6 0.8491 0.3083 0.6304
F7 0.3083 0.1509 0.6304
F8 0.1509 0.3083 0.1304
F9 0.1509 0.6917 0.6304
F10 0.8491 0.6917 0.8696
Au1 0.0000 0.5000 0.0000
F11 0.6917 0.8491 0.3696
Au2 0.5000 0.0000 0.0000
F12 0.1509 0.6917 0.3696
Au3 0.0000 0.5000 0.5000
F13 0.3083 0.1509 0.3696
F14 0.6917 0.8491 0.6304
Cd1 0.0000 0.0000 0.2500
Cd2 0.0000 0.0000 0.7500
F15 0.3083 0.8491 0.8696
Au4 0.5000 0.0000 0.5000
F16 0.6917 0.1509 0.1304

Summary:
As for the uncorrected formation energy: -15.09 eV/f.u. Its space group is P4/mcc. The calculated volume comes out at 338 Å³/cell. Its crystal system is tetragonal.



Entry 5:
DFT (PBEsol) results for crystalline CdAuN2F at its relaxed geometry.

abc: 4.2120 4.2377 4.2377
angles: 90.00 90.00 90.00
Atoms (fractional coordinates):
F1 0.5000 0.0000 0.0000
Au1 0.5000 0.5000 0.5000
N1 0.0000 0.0000 0.5000
Cd1 0.0000 0.0000 0.0000
N2 0.0000 0.5000 0.0000

Summary:
As for the uncorrected formation energy: 7.11 eV/f.u. Its space group is P4/mmm. The calculated volume comes out at 76 Å³/cell. Its crystal system is tetragonal.



Entry 6:
DFT (PBEsol) results for crystalline CdAuNF2 at its relaxed geometry.

abc: 4.2388 4.2388 4.3271
angles: 90.00 90.00 90.00
Atoms (fractional coordinates):
F1 0.0000 0.5000 0.0000
Cd1 0.0000 0.0000 0.0000
Au1 0.5000 0.5000 0.5000
N1 0.0000 0.0000 0.5000
F2 0.5000 0.0000 0.0000

Summary:
As for the uncorrected formation energy: 1.10 eV/f.u. Its space group is P4/mmm. The calculated volume comes out at 78 Å³/cell. Its crystal system is tetragonal.



Entry 7:
DFT (PBEsol) results for crystalline Cd2FeAu at its relaxed geometry.

abc: 2.8714 2.8714 8.1011
angles: 90.00 90.00 90.00
Atoms (fractional coordinates):
Au1 0.5000 0.5000 0.5000
Fe1 0.5000 0.5000 0.0000
Cd1 0.0000 0.0000 0.7656
Cd2 0.0000 0.0000 0.2344

Summary:
Its space group is P4/mmm. The calculated volume comes out at 67 Å³/cell. The calculation puts the calculated formation energy at 0.1226 eV per atom. Its crystal system is tetragonal.



Entry 8:
DFT (PBEsol) results for crystalline Cd2FeAu at its relaxed geometry.

abc: 4.2296 4.2296 4.8113
angles: 116.08 116.08 90.00
Atoms (fractional coordinates):
Au1 0.0000 0.0000 0.0000
Cd1 0.2500 0.7500 0.5000
Fe1 0.5000 0.5000 0.0000
Cd2 0.7500 0.2500 0.5000

Summary:
Its space group is I4/mmm. The calculated volume comes out at 67 Å³/cell. The calculation puts the calculated formation energy at 0.1993 eV per atom. Its crystal system is tetragonal.



Entry 9:
DFT (PBEsol) results for crystalline CdGa2Au2 at its relaxed geometry.

abc: 3.8024 3.8024 6.9155
angles: 105.96 105.96 90.00
Atoms (fractional coordinates):
Au1 0.3939 0.3939 0.7877
Cd1 0.0000 0.0000 0.0000
Ga1 0.7500 0.2500 0.5000
Au2 0.6061 0.6061 0.2123
Ga2 0.2500 0.7500 0.5000

Summary:
Its space group is I4/mmm. The calculated volume comes out at 92 Å³/cell. The calculation puts the calculated formation energy at -0.1352 eV per atom. Its crystal system is tetragonal.



Entry 10:
DFT (PBEsol) results for crystalline ZrCdGa2Au at its relaxed geometry.

abc: 4.7513 4.7513 5.0364
angles: 90.00 90.00 90.00
Atoms (fractional coordinates):
Ga1 0.5000 0.0000 0.0000
Au1 0.0000 0.0000 0.0000
Cd1 0.0000 0.0000 0.5000
Ga2 0.0000 0.5000 0.0000
Zr1 0.5000 0.5000 0.5000

Summary:
Its space group is P4/mmm. The calculated volume comes out at 114 Å³/cell. The calculation puts the calculated formation energy at 0.4569 eV per atom. Its crystal system is tetragonal.



Entry 11:
DFT (PBEsol) results for crystalline GdCdAu2 at its relaxed geometry.

abc: 4.8711 4.8711 4.8711
angles: 60.00 60.00 60.00
Atoms (fractional coordinates):
Au1 0.7500 0.7500 0.7500
Gd1 0.0000 0.0000 0.0000
Au2 0.2500 0.2500 0.2500
Cd1 0.5000 0.5000 0.5000

Summary:
Its space group is Fm-3m. The calculated volume comes out at 82 Å³/cell. The calculation puts the calculated formation energy at -0.6551 eV per atom. Its crystal system is cubic.



Entry 12:
DFT (PBEsol) results for crystalline NaCdGeAu2 at its relaxed geometry.

abc: 4.8924 4.8924 5.1169
angles: 90.00 90.00 90.00
Atoms (fractional coordinates):
Au1 0.0000 0.5000 0.0000
Cd1 0.0000 0.0000 0.5000
Au2 0.5000 0.0000 0.0000
Na1 0.5000 0.5000 0.5000
Ge1 0.0000 0.0000 0.0000

Summary:
Its space group is P4/mmm. The calculated volume comes out at 122 Å³/cell. The calculation puts the calculated formation energy at 0.1167 eV per atom. Its crystal system is tetragonal.



Entry 13:
DFT (PBEsol) results for crystalline CdHAu3 at its relaxed geometry.

abc: 5.1284 5.1284 5.1284
angles: 90.00 90.00 90.00
Atoms (fractional coordinates):
Au1 0.0000 0.5000 0.0000
Au2 0.5000 0.0000 0.0000
Au3 0.0000 0.0000 0.5000
H1 0.5000 0.5000 0.5000
Cd1 0.0000 0.0000 0.0000

Summary:
Its space group is Pm-3m. The calculated volume comes out at 135 Å³/cell. Its crystal system is cubic.



Entry 14:
DFT (PBEsol) results for crystalline CdH2Au2 at its relaxed geometry.

abc: 3.4495 6.9696 6.9696
angles: 90.00 90.00 90.00
Atoms (fractional coordinates):
Au1 0.0000 0.1409 0.3591
H1 0.5000 0.6431 0.1431
Au2 0.0000 0.3591 0.8591
Au3 0.0000 0.6409 0.1409
H2 0.5000 0.1431 0.3569
Au4 0.0000 0.8591 0.6409
Cd1 0.0000 0.0000 0.0000
Cd2 0.0000 0.5000 0.5000
H3 0.5000 0.3569 0.8569
H4 0.5000 0.8569 0.6431

Summary:
Its space group is P4/mbm. The calculated volume comes out at 168 Å³/cell. Its crystal system is tetragonal.



Entry 15:
DFT (PBEsol) results for crystalline Cd2SnHAu at its relaxed geometry.

abc: 3.3810 5.4683 5.4683
angles: 90.00 90.00 90.00
Atoms (fractional coordinates):
Cd1 0.0000 0.5000 0.0000
H1 0.5000 0.0000 0.0000
Cd2 0.0000 0.0000 0.5000
Sn1 0.5000 0.5000 0.5000
Au1 0.0000 0.0000 0.0000

Summary:
Its space group is P4/mmm. The calculated volume comes out at 101 Å³/cell. Its crystal system is tetragonal.



Entry 16:
DFT (PBEsol) results for crystalline HfZr2CdAu at its relaxed geometry.

abc: 5.0402 5.0874 5.0874
angles: 90.00 90.00 90.00
Atoms (fractional coordinates):
Au1 0.5000 0.5000 0.5000
Cd1 0.0000 0.0000 0.0000
Hf1 0.5000 0.0000 0.0000
Zr1 0.0000 0.0000 0.5000
Zr2 0.0000 0.5000 0.0000

Summary:
Its space group is P4/mmm. The calculated volume comes out at 130 Å³/cell. The calculation puts the calculated formation energy at 1.2270 eV per atom. Its crystal system is tetragonal.



Entry 17:
DFT (PBEsol) results for crystalline Cd2HgAu2 at its relaxed geometry.

abc: 3.4306 7.5644 7.5644
angles: 90.00 90.00 90.00
Atoms (fractional coordinates):
Au1 0.0000 0.1375 0.3625
Hg1 0.0000 0.5000 0.5000
Cd1 0.5000 0.6606 0.8394
Cd2 0.5000 0.8394 0.3394
Cd3 0.5000 0.1606 0.6606
Au2 0.0000 0.6375 0.1375
Au3 0.0000 0.3625 0.8625
Hg2 0.0000 0.0000 0.0000
Au4 0.0000 0.8625 0.6375
Cd4 0.5000 0.3394 0.1606

Summary:
Its space group is P4/mbm. The calculated volume comes out at 196 Å³/cell. The calculation puts the calculated formation energy at -0.1206 eV per atom. Its crystal system is tetragonal.



Entry 18:
DFT (PBEsol) results for crystalline Cd2HgAu2 at its relaxed geometry.

abc: 3.8482 3.8482 7.5753
angles: 104.71 104.71 90.00
Atoms (fractional coordinates):
Hg1 0.0000 0.0000 0.0000
Cd1 0.3993 0.3993 0.7986
Au1 0.7500 0.2500 0.5000
Au2 0.2500 0.7500 0.5000
Cd2 0.6007 0.6007 0.2014

Summary:
Its space group is I4/mmm. The calculated volume comes out at 105 Å³/cell. The calculation puts the calculated formation energy at -0.0344 eV per atom. Its crystal system is tetragonal.



Entry 19:
DFT (PBEsol) results for crystalline CdHgAu at its relaxed geometry.

abc: 4.5710 4.5710 4.5710
angles: 60.00 60.00 60.00
Atoms (fractional coordinates):
Hg1 0.5000 0.5000 0.5000
Cd1 0.0000 0.0000 0.0000
Au1 0.2500 0.2500 0.2500

Summary:
Its space group is F-43m. The calculated volume comes out at 68 Å³/cell. The calculation puts the calculated formation energy at -0.0479 eV per atom. Its crystal system is cubic.



Entry 20:
DFT (PBEsol) results for crystalline CdHgAu at its relaxed geometry.

abc: 3.5010 3.7890 5.1008
angles: 111.80 110.07 90.00
Atoms (fractional coordinates):
Au1 0.0030 0.0030 0.0061
Cd1 0.6627 0.6627 0.3255
Hg1 0.3341 0.3341 0.6683

Summary:
Its space group is Imm2. The calculated volume comes out at 58 Å³/cell. The calculation puts the calculated formation energy at -0.0515 eV per atom. Its crystal system is orthorhombic.



Number 1: E -3.22 eV per atom. Number 2: E -4.05 eV per atom. Number 3: E -3.36 eV per atom. Number 4: E -3.60 eV per atom. Number 5: E -3.40 eV per atom. Number 6: E -3.28 eV per atom. Number 7: E -3.70 eV per atom. Number 8: E -3.62 eV per atom. Number 9: E -3.28 eV per atom. Number 10: E -3.72 eV per atom. Number 11: E -6.53 eV per atom. Number 12: E -2.96 eV per atom. Number 13: E -1.94 eV per atom. Number 14: E -2.87 eV per atom. Number 15: E -2.64 eV per atom. Number 16: E -5.53 eV per atom. Number 17: E -2.28 eV per atom. Number 18: E -2.20 eV per atom. Number 19: E -1.94 eV per atom. Number 20: E -1.95 eV per atom.